Entry 1:
Compound: LiGaTc
Source: Alexandria via LeMat-Bulk
Functional: PBE
Structure: relaxed

Output
E_form   -0.15 eV per atom

extended XYZ file:
```
6
Lattice="2.196 -4.269 0.000 2.196 4.269 0.000 0.000 0.000 4.515" Properties=species:S:1:pos:R:3 pbc="T T T"
Li 2.196 2.775 0.000
Li 2.196 -2.775 0.000
Ga 0.000 0.000 2.258
Ga 2.196 0.000 0.000
Tc 2.196 1.472 2.258
Tc 2.196 -1.472 2.258
```

Entry 2:
Compound: Y2Er5Sb4
Source: Alexandria via LeMat-Bulk
Functional: PBE
Structure: relaxed

Output
Energy relative to the elements, uncorrected   -10.700 kcal/mol of atoms

extended XYZ file:
```
11
Lattice="12.714 -2.009 0.000 12.714 2.009 0.000 -0.217 0.000 6.900" Properties=species:S:1:pos:R:3 pbc="T T T"
Y 5.949 0.000 1.882
Y 19.262 0.000 5.017
Er 2.278 0.000 1.395
Er 3.482 0.000 4.774
Er 12.605 0.000 3.450
Er 21.729 0.000 2.125
Er 22.933 0.000 5.505
Sb 0.599 0.000 5.558
Sb 8.177 0.000 6.782
Sb 17.033 0.000 0.117
Sb 24.611 0.000 1.342
```

Entry 3:
Compound: Ca2TaPb
Source: Alexandria via LeMat-Bulk
Functional: PBE
Structure: relaxed

Output
E_form   0.41 eV per atom

extended XYZ file:
```
4
Lattice="4.674 0.000 0.000 0.000 4.674 0.000 0.000 0.000 4.843" Properties=species:S:1:pos:R:3 pbc="T T T"
Ca 0.000 2.337 0.000
Ca 2.337 0.000 0.000
Ta 0.000 0.000 2.422
Pb 2.337 2.337 2.422
```

Entry 4:
Compound: TbNd5Bi5
Source: Alexandria via LeMat-Bulk
Functional: PBE
Structure: relaxed

Output
E_form   -0.75 eV per atom

extended XYZ file:
```
11
Lattice="7.175 -3.221 0.000 7.175 3.221 0.000 -2.900 0.000 8.602" Properties=species:S:1:pos:R:3 pbc="T T T"
Tb 0.000 0.000 0.000
Nd -1.450 0.000 4.301
Nd 2.819 0.000 5.729
Nd 4.331 0.000 1.471
Nd 7.119 0.000 7.131
Nd 8.632 0.000 2.873
Bi 1.405 0.000 2.846
Bi -0.032 0.000 7.192
Bi 7.175 0.000 0.000
Bi 11.482 0.000 1.410
Bi 10.045 0.000 5.756
```

Entry 5:
Compound: Rb2Dy2UTe6
Source: Alexandria via LeMat-Bulk
Functional: PBE
Structure: relaxed

Output
Energy relative to the elements, uncorrected   -27.164 kcal/mol of atoms

extended XYZ file:
```
11
Lattice="3.852 -6.663 0.000 3.852 6.663 0.000 -2.592 0.000 8.789" Properties=species:S:1:pos:R:3 pbc="T T T"
Rb 3.852 4.431 0.000
Rb 3.852 -4.431 0.000
Dy 2.555 2.234 4.395
Dy 2.555 -2.234 4.395
U -1.296 0.000 4.395
Te -0.012 2.194 6.131
Te 1.260 0.000 2.673
Te -0.012 -2.194 6.131
Te 5.123 2.194 2.658
Te 3.851 0.000 6.116
Te 5.123 -2.194 2.658
```

Entry 6:
Compound: TmPuO5
Source: Alexandria via LeMat-Bulk
Functional: PBE
Structure: relaxed

Output
Energy relative to the elements, uncorrected   -64.202 kcal/mol of atoms

extended XYZ file:
```
14
Lattice="4.577 -3.223 0.000 4.577 3.223 0.000 -3.539 0.000 7.212" Properties=species:S:1:pos:R:3 pbc="T T T"
Tm 1.923 2.954 5.409
Tm 3.692 -2.954 1.803
Pu 4.577 0.000 0.000
Pu 2.807 0.000 3.606
O 4.358 1.956 0.289
O 3.026 1.956 3.317
O 1.116 0.090 2.746
O -0.653 -0.090 6.352
O 1.923 0.737 5.409
O 3.692 -0.737 1.803
O 6.268 0.090 0.860
O 4.499 -0.090 4.466
O 2.589 -1.956 3.895
O 1.257 -1.956 6.923
```

Entry 7:
Compound: Ta2FeRh
Source: Alexandria via LeMat-Bulk
Functional: PBE
Structure: relaxed

Output
E_form   0.09 eV per atom

extended XYZ file:
```
4
Lattice="1.488 0.859 8.464 -1.488 0.859 8.464 0.000 -1.718 8.464" Properties=species:S:1:pos:R:3 pbc="T T T"
Ta 0.000 0.000 0.000
Ta 0.000 0.000 6.101
Fe 0.000 0.000 12.598
Rh 0.000 0.000 18.999
```

Entry 8:
Compound: HfScInGe2
Source: Alexandria via LeMat-Bulk
Functional: PBE
Structure: relaxed

Output
E_form   0.97 eV per atom

extended XYZ file:
```
5
Lattice="5.082 0.000 0.000 0.000 5.082 0.000 0.000 0.000 5.433" Properties=species:S:1:pos:R:3 pbc="T T T"
Hf 0.000 0.000 0.000
Sc 2.541 2.541 0.000
In 0.000 0.000 2.716
Ge 0.000 2.541 2.716
Ge 2.541 0.000 2.716
```

Entry 9:
Compound: MgTlCo4
Source: Alexandria via LeMat-Bulk
Functional: PBE
Structure: relaxed

Output
E_form   0.19 eV per atom

extended XYZ file:
```
6
Lattice="0.000 3.472 3.472 3.472 0.000 3.472 3.472 3.472 0.000" Properties=species:S:1:pos:R:3 pbc="T T T"
Mg 0.000 0.000 0.000
Tl 5.208 5.208 5.208
Co 2.601 2.601 2.601
Co 4.343 4.343 2.601
Co 4.343 2.601 4.343
Co 2.601 4.343 4.343
```

Entry 10:
Compound: TiCrRh3
Source: Alexandria via LeMat-Bulk
Functional: PBE
Structure: relaxed

Output
E_form   0.64 eV per atom

extended XYZ file:
```
5
Lattice="4.428 0.000 0.000 0.000 4.428 0.000 0.000 0.000 4.428" Properties=species:S:1:pos:R:3 pbc="T T T"
Ti 0.000 0.000 0.000
Cr 2.214 2.214 2.214
Rh 0.000 2.214 2.214
Rh 2.214 0.000 2.214
Rh 2.214 2.214 0.000
```

Entry 11:
Compound: AcErAlGa
Source: Alexandria via LeMat-Bulk
Functional: PBE
Structure: relaxed

Output
E_form   -0.35 eV per atom

extended XYZ file:
```
4
Lattice="0.000 3.762 3.762 3.762 0.000 3.762 3.762 3.762 0.000" Properties=species:S:1:pos:R:3 pbc="T T T"
Ac 0.000 0.000 0.000
Er 3.762 3.762 3.762
Al 1.881 1.881 1.881
Ga 5.644 5.644 5.644
```

Entry 12:
Compound: Ca2MnZn3Cu12
Source: Alexandria via LeMat-Bulk
Functional: PBE
Structure: relaxed

Output
E_form   0.19 eV per atom

extended XYZ file:
```
18
Lattice="3.111 1.796 8.983 -3.111 1.796 8.983 0.000 -3.592 8.983" Properties=species:S:1:pos:R:3 pbc="T T T"
Ca 0.000 0.000 4.053
Ca 0.000 0.000 22.895
Mn 0.000 0.000 13.474
Zn -1.555 -0.898 8.983
Zn -1.555 0.898 17.965
Zn 0.000 1.796 8.983
Cu 0.000 -2.194 7.658
Cu -1.900 1.097 7.658
Cu -1.304 -0.753 11.515
Cu -1.900 -1.097 19.289
Cu 0.000 -1.506 15.433
Cu -1.304 0.753 15.433
Cu 1.304 -0.753 11.515
Cu 0.000 1.506 11.515
Cu 1.900 1.097 7.658
Cu 1.304 0.753 15.433
Cu 1.900 -1.097 19.289
Cu 0.000 2.194 19.289
```

Number 1: total energy -5.25 eV per atom. Number 2: total energy -5.21 eV per atom. Number 3: total energy -4.48 eV per atom. Number 4: total energy -5.10 eV per atom. Number 5: total energy -4.93 eV per atom. Number 6: total energy -9.01 eV per atom. Number 7: total energy -9.79 eV per atom. Number 8: total energy -4.68 eV per atom. Number 9: total energy -5.21 eV per atom. Number 10: total energy -7.27 eV per atom. Number 11: total energy -4.21 eV per atom. Number 12: total energy -3.49 eV per atom.